(1)
# MgZr

A relaxed MgZr crystal (PBE-GGA, the Open Quantum Materials Database).

a = 6.3937 Å, b = 6.3937 Å, c = 5.1038 Å
α = 90.00°, β = 90.00°, γ = 120.00°
Closest atoms and distances in Å follow each position.
Space group P-6m2 (No. 187)
Unique sites:
Mg  0.0000  0.0000  0.0000 (multiplicity 1)  6 Mg 3.19, 6 Zr 3.20
Mg  0.3447  0.1724  0.5000 (multiplicity 3)  6 Mg 3.09-3.31, 6 Zr 3.16-3.20
Zr  0.0136  0.5068  0.0000 (multiplicity 3)  6 Zr 3.07-3.33, 6 Mg 3.16-3.20
Zr  0.3333  0.6667  0.5000 (multiplicity 1)  6 Zr 3.11, 6 Mg 3.20

Spin magnetization ... 0.025 μB/f.u.
Total DFT energy (no corrections) ... -39.7 eV per cell


(2)
# Mg4Zr3

A relaxed Mg4Zr3 crystal (PBE-GGA, the Open Quantum Materials Database).

a = 8.4293 Å, b = 8.4293 Å, c = 5.0811 Å
α = 90.00°, β = 90.00°, γ = 120.00°
Closest atoms and distances in Å follow each position.
Space group P6_3/m (No. 176)
Unique sites:
Mg  0.0528  0.2416  0.2500 (multiplicity 6)  5 Zr 3.11-3.27, 7 Mg 3.15-3.21
Mg  0.3333  0.6667  0.2500 (multiplicity 2)  9 Zr 3.11-3.27, 3 Mg 3.16
Zr  0.1059  0.4752  0.7500 (multiplicity 6)  4 Zr 3.09-3.25, 8 Mg 3.11-3.27

Spin magnetization ... 0.026 μB/f.u.
Total DFT energy (no corrections) ... -62.7 eV per cell


(3)
# MgZr

A relaxed MgZr crystal (PBE-GGA, the Open Quantum Materials Database).

a = 7.2016 Å, b = 15.3018 Å, c = 4.9567 Å
α = 90.00°, β = 90.00°, γ = 90.00°
Closest atoms and distances in Å follow each position.
Space group Pbcm (No. 57)
Unique sites:
Mg  0.1148  0.0144  0.2500 (multiplicity 4)  5 Mg 3.01-3.07, 2 Zr 3.20-3.27
Mg  0.3632  0.5043  0.2500 (multiplicity 4)  7 Mg 2.95-3.26, 3 Zr 3.14-3.25
Mg  0.3704  0.6424  0.7500 (multiplicity 4)  4 Mg 2.95-3.26, 6 Zr 3.01-3.17
Zr  0.1250  0.1759  0.7500 (multiplicity 4)  6 Zr 2.93-3.17, 1 Mg 3.25
Zr  0.1481  0.6826  0.2500 (multiplicity 4)  6 Zr 2.93-3.26, 5 Mg 3.01-3.20
Zr  0.3991  0.1810  0.2500 (multiplicity 4)  6 Zr 2.95-3.26, 5 Mg 3.04-3.27

Spin magnetization ... 0.002 μB/f.u.
Total DFT energy (no corrections) ... -120.3 eV per cell